AsBrCl2, relaxed, DFT PBE-GGA; volume = 21.46 A^3/atom; density of states at the Fermi level = 3.680 states/eV/cell; formation energy from raw total energies = 0.55 eV/atom; ΔE to the lowest computed polymorph = 1165 meV/atom
1.0
3.146 -4.284 0.000
3.146 4.284 0.000
0.000 0.000 3.185
As Br Cl
1 1 2
Cartesian
0.000 0.000 0.000 As
3.146 0.000 0.000 Br
1.573 2.142 1.593 Cl
1.573 -2.142 1.593 Cl

=====

Zr2MoPIr, relaxed, DFT PBE-GGA; volume = 22.00 A^3/atom; density of states at the Fermi level = 3.432 states/eV/cell; ΔE_f = 707 meV/atom
1.0
4.986 0.000 0.000
0.000 4.986 0.000
0.000 0.000 4.425
Zr Mo P Ir
2 1 1 1
Cartesian
0.000 2.493 0.000 Zr
2.493 0.000 0.000 Zr
0.000 0.000 0.000 Mo
0.000 0.000 2.212 P
2.493 2.493 2.212 Ir

=====

Pm2CuSbO6, relaxed, DFT PBE-GGA; volume = 13.68 A^3/atom; density of states at the Fermi level = 1.679 states/eV/cell; formation energy from raw total energies = -2.22 eV/atom
1.0
5.163 -2.758 0.000
5.163 2.758 0.000
-2.810 0.000 4.804
Pm Cu Sb O
2 1 1 6
Cartesian
1.954 0.000 1.057 Pm
5.562 0.000 3.747 Pm
-1.405 0.000 2.402 Cu
5.163 0.000 0.000 Sb
3.896 1.378 0.778 O
1.143 0.000 3.193 O
3.620 1.378 4.026 O
3.896 -1.378 0.778 O
6.373 0.000 1.611 O
3.620 -1.378 4.026 O

=====

InTeCI2, relaxed, DFT PBE-GGA; volume = 40.69 A^3/atom; density of states at the Fermi level = 6.324 states/eV/cell; formation energy from raw total energies = 1.52 eV/atom; ΔE to the lowest computed polymorph = 650 meV/atom
1.0
5.870 0.000 0.000
0.000 5.870 0.000
0.000 0.000 5.905
In Te C I
1 1 1 2
Cartesian
0.000 0.000 0.000 In
0.000 0.000 2.952 Te
2.935 2.935 2.952 C
0.000 2.935 0.000 I
2.935 0.000 0.000 I

=====

Nd2AuF, relaxed, DFT PBE-GGA; volume = 33.88 A^3/atom; density of states at the Fermi level = 3.623 states/eV/cell; formation energy from raw total energies = -1.54 eV/atom
1.0
2.299 1.327 7.406
-2.299 1.327 7.406
0.000 -2.654 7.406
Nd Au F
2 1 1
Cartesian
0.000 0.000 2.293 Nd
0.000 0.000 19.923 Nd
0.000 0.000 11.108 Au
0.000 0.000 0.000 F

=====

RbCoRhC2, relaxed, DFT PBE-GGA; volume = 17.97 A^3/atom; density of states at the Fermi level = 7.132 states/eV/cell; ΔE_f = 4005 meV/atom
1.0
4.391 0.000 0.000
0.000 4.391 0.000
0.000 0.000 4.662
Rb Co Rh C
1 1 1 2
Cartesian
0.000 0.000 0.000 Rb
0.000 0.000 2.331 Co
2.195 2.195 2.331 Rh
0.000 2.195 0.000 C
2.195 0.000 0.000 C

=====

K4InI5, relaxed, DFT PBE-GGA; volume = 45.55 A^3/atom; density of states at the Fermi level = 0.000 states/eV/cell; formation energy from raw total energies = -1.27 eV/atom; ΔE to the lowest computed polymorph = 3 meV/atom
1.0
2.525 1.458 20.626
-2.525 1.458 20.626
0.000 -2.916 20.626
K In I
4 1 5
Cartesian
0.000 0.000 6.226 K
0.000 0.000 18.549 K
0.000 0.000 43.329 K
0.000 0.000 55.652 K
0.000 0.000 30.939 In
0.000 0.000 0.000 I
0.000 0.000 12.335 I
0.000 0.000 24.777 I
0.000 0.000 37.101 I
0.000 0.000 49.543 I

=====

ErPaGa, relaxed, DFT PBE-GGA; volume = 23.91 A^3/atom; density of states at the Fermi level = 5.413 states/eV/cell; ΔE to the lowest computed polymorph = 0 meV/atom; ΔE_f = -144 meV/atom
1.0
-1.618 1.618 6.849
1.618 -1.618 6.849
1.618 1.618 -6.849
Er Pa Ga
1 1 1
Cartesian
0.000 0.000 0.000 Er
0.000 0.000 4.166 Pa
0.000 0.000 8.919 Ga

=====

NaSrCaTl, relaxed, DFT PBE-GGA; volume = 34.03 A^3/atom; density of states at the Fermi level = 5.629 states/eV/cell; ΔE_f = -216 meV/atom
1.0
0.000 4.083 4.083
4.083 0.000 4.083
4.083 4.083 0.000
Na Sr Ca Tl
1 1 1 1
Cartesian
0.000 0.000 0.000 Na
2.041 2.041 2.041 Sr
6.124 6.124 6.124 Ca
4.083 4.083 4.083 Tl

=====

KNp4Pd3S12, relaxed, DFT PBE-GGA; volume = 23.07 A^3/atom; density of states at the Fermi level = 39.146 states/eV/cell; formation energy from raw total energies = -0.86 eV/atom
1.0
-4.868 4.868 4.868
4.868 -4.868 4.868
4.868 4.868 -4.868
K Np Pd S
1 4 3 12
Cartesian
0.000 0.000 0.000 K
2.434 2.434 -2.434 Np
2.434 -2.434 2.434 Np
-2.434 2.434 2.434 Np
2.434 2.434 2.434 Np
4.868 0.000 0.000 Pd
0.000 4.868 0.000 Pd
0.000 0.000 4.868 Pd
4.868 3.282 -1.777 S
3.091 0.000 1.586 S
6.645 0.000 1.586 S
1.586 3.091 0.000 S
3.282 -1.777 4.868 S
0.000 1.586 3.091 S
4.868 3.282 1.777 S
1.586 6.645 0.000 S
3.282 1.777 4.868 S
-1.777 4.868 3.282 S
1.777 4.868 3.282 S
0.000 1.586 6.645 S

=====

SnPtW2Se, relaxed, DFT PBE-GGA; volume = 20.62 A^3/atom; density of states at the Fermi level = 7.713 states/eV/cell; formation energy from raw total energies = 1.30 eV/atom
1.0
4.705 0.000 0.000
0.000 4.705 0.000
0.000 0.000 4.657
Sn Pt W Se
1 1 2 1
Cartesian
0.000 0.000 0.000 Sn
2.353 2.353 0.000 Pt
0.000 2.353 2.328 W
2.353 0.000 2.328 W
2.353 2.353 2.328 Se

=====

GdHo2Mg, relaxed, DFT PBE-GGA; volume = 29.44 A^3/atom; density of states at the Fermi level = 5.377 states/eV/cell; ΔE to the lowest computed polymorph = 0 meV/atom; ΔE_f = -20 meV/atom
1.0
3.591 0.000 0.000
0.000 3.591 0.000
0.000 0.000 9.131
Gd Ho Mg
1 2 1
Cartesian
0.000 0.000 0.000 Gd
1.796 1.796 2.448 Ho
1.796 1.796 6.683 Ho
0.000 0.000 4.565 Mg

=====

Mg3RuC, relaxed, DFT PBE-GGA; volume = 16.06 A^3/atom; density of states at the Fermi level = 4.455 states/eV/cell; ΔE to the lowest computed polymorph = 0 meV/atom; ΔE_f = 558 meV/atom
1.0
4.315 0.000 0.000
0.000 4.315 0.000
0.000 0.000 4.315
Mg Ru C
3 1 1
Cartesian
0.000 0.000 2.157 Mg
0.000 2.157 0.000 Mg
2.157 0.000 0.000 Mg
2.157 2.157 2.157 Ru
0.000 0.000 0.000 C

=====

SmInS2, relaxed, DFT PBE-GGA; volume = 27.47 A^3/atom; formation energy from raw total energies = -1.36 eV/atom
1.0
2.043 1.179 7.601
-2.043 1.179 7.601
0.000 -2.359 7.601
Sm In S
1 1 2
Cartesian
0.000 0.000 0.000 Sm
0.000 0.000 3.919 In
0.000 0.000 9.082 S
0.000 0.000 13.597 S

=====

Tb8AgSb2, relaxed, DFT PBE-GGA; volume = 29.24 A^3/atom; density of states at the Fermi level = 12.761 states/eV/cell; formation energy from raw total energies = -0.38 eV/atom
1.0
9.580 -2.486 0.000
9.580 2.486 0.000
-1.504 0.000 6.753
Tb Ag Sb
8 1 2
Cartesian
-0.077 0.000 1.823 Tb
2.862 0.000 5.629 Tb
5.863 0.000 3.292 Tb
7.767 0.000 0.102 Tb
9.888 0.000 6.651 Tb
11.792 0.000 3.460 Tb
14.793 0.000 1.124 Tb
17.732 0.000 4.930 Tb
8.827 0.000 3.376 Ag
3.078 0.000 1.780 Sb
14.577 0.000 4.973 Sb

=====

LaTi2Zn2, relaxed, DFT PBE-GGA; volume = 19.50 A^3/atom; density of states at the Fermi level = 12.102 states/eV/cell; ΔE to the lowest computed polymorph = 102 meV/atom; ΔE_f = 58 meV/atom
1.0
7.897 0.000 0.000
0.000 7.897 0.000
0.000 0.000 3.126
La Ti Zn
2 4 4
Cartesian
0.000 0.000 0.000 La
3.948 3.948 0.000 La
1.396 2.553 1.563 Ti
2.553 6.501 1.563 Ti
5.344 1.396 1.563 Ti
6.501 5.344 1.563 Ti
0.913 4.862 0.000 Zn
3.035 0.913 0.000 Zn
4.862 6.984 0.000 Zn
6.984 3.035 0.000 Zn

=====

SrLiCo2, relaxed, DFT PBE-GGA; volume = 20.20 A^3/atom; density of states at the Fermi level = 4.480 states/eV/cell; ΔE to the lowest computed polymorph = 318 meV/atom; ΔE_f = 510 meV/atom
1.0
3.465 0.000 0.000
0.000 4.344 0.000
-1.238 0.000 5.367
Sr Li Co
1 1 2
Cartesian
0.000 0.000 0.000 Sr
1.114 0.000 2.684 Li
0.246 2.172 3.379 Co
1.981 2.172 1.988 Co

=====

Nd2AgTe6Pb3, relaxed, DFT PBE-GGA; volume = 33.56 A^3/atom; density of states at the Fermi level = 3.672 states/eV/cell; formation energy from raw total energies = -0.68 eV/atom
1.0
10.042 -2.244 0.000
10.042 2.244 0.000
-2.146 0.000 8.938
Nd Ag Te Pb
2 1 6 3
Cartesian
2.592 0.000 3.044 Nd
15.347 0.000 5.895 Nd
10.042 0.000 0.000 Ag
-0.386 0.000 2.056 Te
4.640 0.000 8.066 Te
5.773 0.000 3.684 Te
12.165 0.000 5.255 Te
13.298 0.000 0.872 Te
18.325 0.000 6.883 Te
1.404 0.000 7.566 Pb
8.969 0.000 4.469 Pb
16.534 0.000 1.372 Pb

=====

La5Tb3Tl3, relaxed, DFT PBE-GGA; volume = 33.80 A^3/atom; density of states at the Fermi level = 16.723 states/eV/cell; ΔE_f = 104 meV/atom
1.0
11.099 0.000 0.000
-5.549 9.612 0.000
0.000 0.000 3.485
La Tb Tl
5 3 3
Cartesian
-1.893 3.279 0.000 La
0.000 6.408 0.000 La
3.786 0.000 0.000 La
3.656 6.333 0.000 La
5.549 3.204 0.000 La
-4.602 7.972 0.000 Tb
0.947 1.640 0.000 Tb
9.205 0.000 0.000 Tb
-3.281 5.683 1.743 Tl
2.268 3.929 1.743 Tl
6.562 0.000 1.743 Tl

=====

V3GaN, relaxed, DFT PBE-GGA; volume = 12.02 A^3/atom; density of states at the Fermi level = 6.214 states/eV/cell; formation energy from raw total energies = -0.66 eV/atom
1.0
2.970 0.000 0.000
0.000 7.917 0.000
-1.484 0.000 5.115
V Ga N
6 2 2
Cartesian
0.001 1.979 0.327 V
0.007 0.342 3.824 V
0.007 3.617 3.824 V
1.479 4.300 1.291 V
1.479 7.575 1.291 V
1.485 5.937 4.788 V
-0.003 5.937 2.640 Ga
1.488 1.979 2.475 Ga
0.000 0.000 0.000 N
0.000 3.958 0.000 N

=====

NaSr4Fe10As10, relaxed, DFT PBE-GGA; volume = 18.16 A^3/atom; density of states at the Fermi level = 20.413 states/eV/cell; ΔE_f = -484 meV/atom
1.0
-4.415 4.415 5.823
4.415 -4.415 5.823
4.415 4.415 -5.823
Na Sr Fe As
1 4 10 10
Cartesian
0.000 0.000 0.000 Na
3.494 1.748 0.000 Sr
2.667 -0.921 5.823 Sr
1.748 5.336 0.000 Sr
0.921 2.667 5.823 Sr
5.297 2.648 -2.905 Fe
2.648 3.533 -2.905 Fe
4.415 0.000 2.912 Fe
1.767 0.882 2.919 Fe
-0.882 1.767 2.919 Fe
5.297 2.648 2.905 Fe
2.648 3.533 2.905 Fe
0.000 4.415 2.912 Fe
1.767 0.882 8.728 Fe
-0.882 1.767 8.728 Fe
2.639 -0.883 1.700 As
5.298 -1.776 4.123 As
6.192 0.883 1.700 As
0.000 0.000 4.122 As
0.883 2.639 1.700 As
3.532 1.776 4.123 As
0.000 0.000 7.525 As
-1.776 3.532 4.123 As
-0.883 6.192 1.700 As
1.776 5.298 4.123 As

=====

Fe4MoAs, relaxed, DFT PBE-GGA; volume = 12.84 A^3/atom; density of states at the Fermi level = 7.817 states/eV/cell; ΔE_f = 218 meV/atom
1.0
0.000 3.377 3.377
3.377 0.000 3.377
3.377 3.377 0.000
Fe Mo As
4 1 1
Cartesian
2.537 2.537 2.537 Fe
4.217 4.217 2.537 Fe
4.217 2.537 4.217 Fe
2.537 4.217 4.217 Fe
5.065 5.065 5.065 Mo
0.000 0.000 0.000 As

=====

KAg3Pt, relaxed, DFT PBE-GGA; volume = 21.99 A^3/atom; density of states at the Fermi level = 4.009 states/eV/cell; ΔE to the lowest computed polymorph = 0 meV/atom; ΔE_f = 17 meV/atom
1.0
3.014 -6.737 0.000
3.014 6.737 0.000
0.000 0.000 5.415
K Ag Pt
2 6 2
Cartesian
3.014 5.612 4.062 K
3.014 -5.612 1.354 K
1.610 2.083 4.062 Ag
3.014 2.440 1.354 Ag
1.610 -2.083 1.354 Ag
4.418 2.083 4.062 Ag
3.014 -2.440 4.062 Ag
4.418 -2.083 1.354 Ag
3.014 0.000 0.000 Pt
3.014 0.000 2.708 Pt

=====

YHoSi4, relaxed, DFT PBE-GGA; volume = 21.16 A^3/atom; density of states at the Fermi level = 9.385 states/eV/cell; formation energy from raw total energies = -0.41 eV/atom
1.0
8.820 0.000 0.000
0.000 13.600 0.000
0.000 0.000 4.234
Y Ho Si
4 4 16
Cartesian
0.410 1.798 0.000 Y
4.000 8.598 0.000 Y
4.820 5.002 0.000 Y
8.410 11.802 0.000 Y
1.294 5.650 0.000 Ho
3.116 12.450 0.000 Ho
5.704 1.150 0.000 Ho
7.526 7.950 0.000 Ho
0.371 3.864 2.117 Si
0.856 7.662 2.117 Si
1.237 13.486 2.117 Si
1.620 11.108 2.117 Si
2.790 4.308 2.117 Si
3.174 6.686 2.117 Si
3.554 0.862 2.117 Si
4.039 10.664 2.117 Si
4.781 2.936 2.117 Si
5.266 12.738 2.117 Si
5.647 6.914 2.117 Si
6.030 9.292 2.117 Si
7.200 2.492 2.117 Si
7.584 0.114 2.117 Si
7.965 5.938 2.117 Si
8.450 9.736 2.117 Si